Compound: Pr5Cu2Bi
Source: Alexandria via LeMat-Bulk
Functional: PBE-GGA
Structure: relaxed

a = 8.926 Å, b = 8.926 Å, c = 8.926 Å
α = 124.28°, β = 124.28°, γ = 82.73°
Atoms (fractional coordinates):
Pr 0.000 0.000 0.000
Pr 0.011 0.511 0.803
Pr 0.208 0.011 0.500
Pr 0.292 0.792 0.803
Pr 0.489 0.292 0.500
Pr 0.500 0.500 0.000
Pr 0.511 0.708 0.500
Pr 0.708 0.208 0.197
Pr 0.792 0.989 0.500
Pr 0.989 0.489 0.197
Cu 0.135 0.365 0.500
Cu 0.365 0.865 0.231
Cu 0.635 0.135 0.769
Cu 0.865 0.635 0.500
Bi 0.250 0.250 0.000
Bi 0.750 0.750 0.000

Summary:
**Uncorrected energy**: -4.801 eV/atom
**Space group**: I4/mcm



Compound: SnOsSe2Br
Source: Alexandria via LeMat-Bulk
Functional: PBE-GGA
Structure: relaxed

a = 4.900 Å, b = 4.900 Å, c = 5.167 Å
α = 90.00°, β = 90.00°, γ = 90.00°
Atoms (fractional coordinates):
Sn 0.000 0.000 0.000
Os 0.500 0.500 0.500
Se 0.000 0.500 0.500
Se 0.500 0.000 0.500
Br 0.500 0.500 0.000

Summary:
**Energy above the lowest structure with this stoichiometry**: 0 meV per atom
**Formation energy (no corrections)**: 380 meV per atom
**Space group**: P4/mmm



Compound: Li5Ca2InGa2
Source: Alexandria via LeMat-Bulk
Functional: PBE-GGA
Structure: relaxed

a = 9.906 Å, b = 9.906 Å, c = 4.568 Å
α = 90.00°, β = 90.00°, γ = 90.00°
Atoms (fractional coordinates):
Li 0.000 0.500 0.000
Li 0.056 0.218 0.000
Li 0.218 0.944 0.000
Li 0.282 0.444 0.000
Li 0.444 0.718 0.000
Li 0.500 0.000 0.000
Li 0.556 0.282 0.000
Li 0.718 0.556 0.000
Li 0.782 0.056 0.000
Li 0.944 0.782 0.000
Ca 0.193 0.693 0.500
Ca 0.307 0.193 0.500
Ca 0.693 0.807 0.500
Ca 0.807 0.307 0.500
In 0.000 0.000 0.500
In 0.500 0.500 0.500
Ga 0.098 0.402 0.500
Ga 0.402 0.902 0.500
Ga 0.598 0.098 0.500
Ga 0.902 0.598 0.500

Summary:
**Uncorrected energy**: -2.461 eV/atom
**Space group**: P4/mbm



Compound: Ti4GeSe5
Source: Alexandria via LeMat-Bulk
Functional: PBE-GGA
Structure: relaxed

a = 8.096 Å, b = 8.096 Å, c = 7.421 Å
α = 100.96°, β = 100.96°, γ = 25.61°
Atoms (fractional coordinates):
Ti 0.002 0.002 0.247
Ti 0.333 0.333 0.924
Ti 0.667 0.667 0.076
Ti 0.998 0.998 0.753
Ge 0.500 0.500 0.000
Se 0.165 0.165 0.323
Se 0.168 0.168 0.821
Se 0.500 0.500 0.500
Se 0.832 0.832 0.179
Se 0.835 0.835 0.677

Summary:
**Formation energy (no corrections)**: -977 meV per atom
**Space group**: C2/m



Compound: Pr3NdCu
Source: Alexandria via LeMat-Bulk
Functional: PBE-GGA
Structure: relaxed

a = 5.613 Å, b = 5.613 Å, c = 5.613 Å
α = 90.00°, β = 90.00°, γ = 90.00°
Atoms (fractional coordinates):
Pr 0.000 0.000 0.500
Pr 0.000 0.500 0.000
Pr 0.500 0.000 0.000
Nd 0.500 0.500 0.500
Cu 0.000 0.000 0.000

Summary:
**Uncorrected energy**: -4.490 eV/atom
**Space group**: Pm-3m



Compound: AcPr8Tm2
Source: Alexandria via LeMat-Bulk
Functional: PBE-GGA
Structure: relaxed

a = 9.706 Å, b = 9.706 Å, c = 6.114 Å
α = 105.97°, β = 105.97°, γ = 122.39°
Atoms (fractional coordinates):
Ac 0.000 0.000 0.000
Pr 0.097 0.342 0.687
Pr 0.209 0.791 0.000
Pr 0.342 0.097 0.687
Pr 0.432 0.432 0.207
Pr 0.568 0.568 0.793
Pr 0.658 0.903 0.313
Pr 0.791 0.209 0.000
Pr 0.903 0.658 0.313
Tm 0.312 0.688 0.500
Tm 0.688 0.312 0.500

Summary:
**Energy above the lowest structure with this stoichiometry**: 17 meV per atom
**Space group**: C2/m



Compound: Y2TmTe3
Source: Alexandria via LeMat-Bulk
Functional: PBE-GGA
Structure: relaxed

a = 8.769 Å, b = 8.769 Å, c = 8.769 Å
α = 48.83°, β = 48.83°, γ = 48.83°
Atoms (fractional coordinates):
Y 0.167 0.167 0.167
Y 0.333 0.333 0.333
Y 0.667 0.667 0.667
Y 0.833 0.833 0.833
Tm 0.000 0.000 0.000
Tm 0.500 0.500 0.500
Te 0.087 0.750 0.413
Te 0.250 0.587 0.913
Te 0.413 0.087 0.750
Te 0.587 0.913 0.250
Te 0.750 0.413 0.087
Te 0.913 0.250 0.587

Summary:
**Energy above the lowest structure with this stoichiometry**: 0 meV per atom
**Formation energy (no corrections)**: -1288 meV per atom
**Space group**: R-3c



Compound: ThScH
Source: Alexandria via LeMat-Bulk
Functional: PBE-GGA
Structure: relaxed

a = 6.573 Å, b = 6.573 Å, c = 6.464 Å
α = 117.66°, β = 117.66°, γ = 28.83°
Atoms (fractional coordinates):
Th 0.134 0.134 0.261
Th 0.866 0.866 0.739
Sc 0.132 0.132 0.759
Sc 0.868 0.868 0.241
H 0.441 0.441 0.105
H 0.559 0.559 0.895

Summary:
**Energy above the lowest structure with this stoichiometry**: 172 meV per atom
**Space group**: C2/m



Compound: YZrMn
Source: Alexandria via LeMat-Bulk
Functional: PBE-GGA
Structure: relaxed

a = 4.828 Å, b = 4.828 Å, c = 3.404 Å
α = 90.00°, β = 90.00°, γ = 120.00°
Atoms (fractional coordinates):
Y 0.000 0.000 0.000
Zr 0.667 0.333 0.485
Mn 0.333 0.667 0.531

Summary:
**Energy above the lowest structure with this stoichiometry**: 133 meV per atom
**Space group**: P3m1



Compound: Er2PaFe
Source: Alexandria via LeMat-Bulk
Functional: PBE-GGA
Structure: relaxed

a = 10.605 Å, b = 10.605 Å, c = 10.605 Å
α = 17.56°, β = 17.56°, γ = 17.56°
Atoms (fractional coordinates):
Er 0.104 0.104 0.104
Er 0.896 0.896 0.896
Pa 0.000 0.000 0.000
Fe 0.500 0.500 0.500

Summary:
**Energy above the lowest structure with this stoichiometry**: 558 meV per atom
**Space group**: R-3m



Compound: Bi5PdPt
Source: Alexandria via LeMat-Bulk
Functional: PBE-GGA
Structure: relaxed

a = 6.739 Å, b = 6.739 Å, c = 10.612 Å
α = 108.16°, β = 108.16°, γ = 64.42°
Atoms (fractional coordinates):
Bi 0.087 0.913 0.750
Bi 0.098 0.393 0.633
Bi 0.244 0.528 0.979
Bi 0.393 0.098 0.133
Bi 0.472 0.756 0.521
Bi 0.528 0.244 0.479
Bi 0.607 0.902 0.867
Bi 0.756 0.472 0.021
Bi 0.902 0.607 0.367
Bi 0.913 0.087 0.250
Pd 0.493 0.507 0.750
Pd 0.507 0.493 0.250
Pt 0.000 0.000 0.000
Pt 0.000 0.000 0.500

Summary:
**Uncorrected energy**: -4.416 eV/atom
**Space group**: C2/c



Compound: TbFeHg
Source: Alexandria via LeMat-Bulk
Functional: PBE-GGA
Structure: relaxed

a = 6.870 Å, b = 6.870 Å, c = 5.066 Å
α = 102.20°, β = 102.20°, γ = 32.53°
Atoms (fractional coordinates):
Tb 0.133 0.133 0.328
Tb 0.867 0.867 0.672
Fe 0.232 0.232 0.906
Fe 0.768 0.768 0.094
Hg 0.428 0.428 0.215
Hg 0.572 0.572 0.785

Summary:
**Uncorrected energy**: -4.573 eV/atom
**Space group**: C2/m



Compound: VMo2C2
Source: Alexandria via LeMat-Bulk
Functional: PBE-GGA
Structure: relaxed

a = 7.425 Å, b = 7.425 Å, c = 7.425 Å
α = 23.24°, β = 23.24°, γ = 23.24°
Atoms (fractional coordinates):
V 0.000 0.000 0.000
Mo 0.222 0.222 0.222
Mo 0.778 0.778 0.778
C 0.389 0.389 0.389
C 0.611 0.611 0.611

Summary:
**Energy above the lowest structure with this stoichiometry**: 0 meV per atom
**Space group**: R-3m



Compound: NbIr3S
Source: Alexandria via LeMat-Bulk
Functional: PBE-GGA
Structure: relaxed

a = 4.793 Å, b = 4.793 Å, c = 4.793 Å
α = 90.00°, β = 90.00°, γ = 90.00°
Atoms (fractional coordinates):
Nb 0.000 0.000 0.000
Ir 0.000 0.000 0.500
Ir 0.000 0.500 0.000
Ir 0.500 0.000 0.000
S 0.500 0.500 0.500

Summary:
**Energy above the lowest structure with this stoichiometry**: 1206 meV per atom
**Formation energy (no corrections)**: 1941 meV per atom
**Space group**: Pm-3m



Compound: TbNd5DyTm2
Source: Alexandria via LeMat-Bulk
Functional: PBE-GGA
Structure: relaxed

a = 10.568 Å, b = 10.568 Å, c = 10.707 Å
α = 90.00°, β = 90.00°, γ = 149.03°
Atoms (fractional coordinates):
Tb 0.199 0.801 0.500
Tb 0.801 0.199 0.000
Nd 0.016 0.984 0.508
Nd 0.280 0.720 0.801
Nd 0.297 0.703 0.195
Nd 0.386 0.614 0.511
Nd 0.482 0.518 0.232
Nd 0.518 0.482 0.732
Nd 0.614 0.386 0.011
Nd 0.703 0.297 0.695
Nd 0.720 0.280 0.301
Nd 0.984 0.016 0.008
Dy 0.409 0.591 0.949
Dy 0.591 0.409 0.449
Tm 0.112 0.888 0.229
Tm 0.115 0.885 0.800
Tm 0.885 0.115 0.300
Tm 0.888 0.112 0.729

Summary:
**Uncorrected energy**: -4.521 eV/atom
**Space group**: Cmc2_1



Compound: KSnNO2
Source: Alexandria via LeMat-Bulk
Functional: PBE-GGA
Structure: relaxed

a = 4.166 Å, b = 4.166 Å, c = 4.344 Å
α = 90.00°, β = 90.00°, γ = 90.00°
Atoms (fractional coordinates):
K 0.000 0.000 0.000
Sn 0.500 0.500 0.500
N 0.500 0.500 0.000
O 0.000 0.500 0.500
O 0.500 0.000 0.500

Summary:
**Formation energy (no corrections)**: -470 meV per atom
**Space group**: P4/mmm



Compound: VCr2Sn
Source: Alexandria via LeMat-Bulk
Functional: PBE-GGA
Structure: relaxed

a = 9.401 Å, b = 9.401 Å, c = 9.401 Å
α = 156.71°, β = 156.71°, γ = 33.17°
Atoms (fractional coordinates):
V 0.000 0.000 0.000
V 0.750 0.250 0.500
Cr 0.046 0.625 0.921
Cr 0.375 0.296 0.421
Cr 0.704 0.125 0.079
Cr 0.875 0.954 0.579
Sn 0.250 0.750 0.500
Sn 0.500 0.500 0.000

Summary:
**Uncorrected energy**: -7.319 eV/atom
**Space group**: I-42d



Compound: TeAs2Ir
Source: Alexandria via LeMat-Bulk
Functional: PBE-GGA
Structure: relaxed

a = 6.483 Å, b = 6.483 Å, c = 6.483 Å
α = 147.96°, β = 142.66°, γ = 50.01°
Atoms (fractional coordinates):
Te 0.000 0.000 0.000
As 0.311 0.811 0.500
As 0.667 0.667 0.000
Ir 0.825 0.325 0.500

Summary:
**Formation energy (no corrections)**: 180 meV per atom
**Space group**: Imm2



Compound: Sc5Zn4Pb
Source: Alexandria via LeMat-Bulk
Functional: PBE-GGA
Structure: relaxed

a = 3.386 Å, b = 3.386 Å, c = 17.393 Å
α = 90.00°, β = 90.00°, γ = 90.00°
Atoms (fractional coordinates):
Sc 0.000 0.000 0.000
Sc 0.000 0.000 0.190
Sc 0.000 0.000 0.379
Sc 0.000 0.000 0.621
Sc 0.000 0.000 0.810
Zn 0.500 0.500 0.097
Zn 0.500 0.500 0.281
Zn 0.500 0.500 0.719
Zn 0.500 0.500 0.903
Pb 0.500 0.500 0.500

Summary:
**Uncorrected energy**: -4.404 eV/atom
**Space group**: P4/mmm



Compound: Ag8Pd3Au2
Source: Alexandria via LeMat-Bulk
Functional: PBE-GGA
Structure: relaxed

a = 7.029 Å, b = 7.029 Å, c = 5.508 Å
α = 97.34°, β = 97.34°, γ = 66.11°
Atoms (fractional coordinates):
Ag 0.065 0.701 0.065
Ag 0.089 0.089 0.375
Ag 0.295 0.295 0.711
Ag 0.299 0.935 0.935
Ag 0.701 0.065 0.065
Ag 0.705 0.705 0.289
Ag 0.911 0.911 0.625
Ag 0.935 0.299 0.935
Pd 0.327 0.673 0.500
Pd 0.500 0.500 0.000
Pd 0.673 0.327 0.500
Au 0.305 0.305 0.225
Au 0.695 0.695 0.775

Summary:
**Energy above the lowest structure with this stoichiometry**: 83 meV per atom
**Space group**: C2/m



Compound: La8PdRh2C
Source: Alexandria via LeMat-Bulk
Functional: PBE-GGA
Structure: relaxed

a = 6.668 Å, b = 8.366 Å, c = 6.779 Å
α = 90.00°, β = 90.23°, γ = 90.00°
Atoms (fractional coordinates):
La 0.231 0.000 0.349
La 0.256 0.500 0.316
La 0.268 0.279 0.846
La 0.268 0.721 0.846
La 0.732 0.279 0.154
La 0.732 0.721 0.154
La 0.744 0.500 0.684
La 0.769 0.000 0.651
Pd 0.500 0.000 0.000
Rh 0.000 0.256 0.500
Rh 0.000 0.744 0.500
C 0.500 0.500 0.000

Summary:
**Uncorrected energy**: -6.095 eV/atom
**Space group**: P2/m



Compound: Pu2CdGe4Pd3
Source: Alexandria via LeMat-Bulk
Functional: PBE-GGA
Structure: relaxed

a = 4.270 Å, b = 4.270 Å, c = 10.822 Å
α = 90.00°, β = 90.00°, γ = 90.00°
Atoms (fractional coordinates):
Pu 0.000 0.500 0.242
Pu 0.500 0.000 0.758
Cd 0.000 0.000 0.500
Ge 0.000 0.000 0.000
Ge 0.000 0.500 0.650
Ge 0.500 0.000 0.350
Ge 0.500 0.500 0.000
Pd 0.000 0.500 0.875
Pd 0.500 0.000 0.125
Pd 0.500 0.500 0.500

Summary:
**Uncorrected energy**: -6.832 eV/atom
**Space group**: P-4m2



Compound: BC5
Source: Alexandria via LeMat-Bulk
Functional: PBE-GGA
Structure: relaxed

a = 2.529 Å, b = 2.529 Å, c = 12.995 Å
α = 90.00°, β = 90.00°, γ = 120.00°
Atoms (fractional coordinates):
B 0.333 0.667 0.460
B 0.667 0.333 0.540
C 0.000 0.000 0.179
C 0.000 0.000 0.298
C 0.000 0.000 0.702
C 0.000 0.000 0.821
C 0.333 0.667 0.338
C 0.333 0.667 0.861
C 0.333 0.667 0.980
C 0.667 0.333 0.020
C 0.667 0.333 0.139
C 0.667 0.333 0.662

Summary:
**Energy above the lowest structure with this stoichiometry**: 0 meV per atom
**Space group**: P-3m1



Number 1: mass density 7.41 Mg/m³. Number 2: mass density 7.32 Mg/m³. Number 3: mass density 2.74 Mg/m³. Number 4: mass density 5.31 Mg/m³. Number 5: mass density 5.92 Mg/m³. Number 6: mass density 7.04 Mg/m³. Number 7: mass density 6.91 Mg/m³. Number 8: mass density 7.81 Mg/m³. Number 9: mass density 5.68 Mg/m³. Number 10: mass density 10.89 Mg/m³. Number 11: mass density 11.07 Mg/m³. Number 12: mass density 11.00 Mg/m³. Number 13: mass density 7.92 Mg/m³. Number 14: mass density 10.58 Mg/m³. Number 15: mass density 7.45 Mg/m³. Number 16: mass density 4.49 Mg/m³. Number 17: mass density 7.00 Mg/m³. Number 18: mass density 8.94 Mg/m³. Number 19: mass density 5.78 Mg/m³. Number 20: mass density 10.64 Mg/m³. Number 21: mass density 6.30 Mg/m³. Number 22: mass density 10.18 Mg/m³. Number 23: mass density 3.27 Mg/m³.